# InIr2

A relaxed InIr2 crystal (GGA-PBE, Alexandria via LeMat-Bulk).

Unit cell a=7.7560 b=7.7560 c=2.8413 alpha=90.00 beta=90.00 gamma=120.00
Sites, in units of the cell vectors:
In  0.3333  0.6667  0.0000
In  0.6667  0.3333  0.0000
In  0.0000  0.0000  0.5000
Ir  0.3050  0.0000  0.0000
Ir  0.0000  0.3050  0.0000
Ir  0.6950  0.6950  0.0000
Ir  0.6346  0.0000  0.5000
Ir  0.0000  0.6346  0.5000
Ir  0.3654  0.3654  0.5000

Summary:
Formation energy ... 296 meV per atom
VASP energy ... -58.719 eV/cell
M_tot ... 0.00 μB per formula unit